Compound: Gd3Si
Source: Alexandria via LeMat-Bulk
Functional: PBE
Structure: relaxed

The structure in POSCAR format:
```
Gd3Si
1.0
6.664 0.000 0.000
-3.332 5.772 0.000
0.000 0.000 5.312
Gd Si
6 2
direct
0.176 0.352 0.250 Gd
0.176 0.824 0.250 Gd
0.352 0.176 0.750 Gd
0.648 0.824 0.250 Gd
0.824 0.176 0.750 Gd
0.824 0.648 0.750 Gd
0.333 0.667 0.750 Si
0.667 0.333 0.250 Si
```

For the energy, the calculation gives -12.199 eV/atom. As for the formation energy without anion corrections: -282 meV/atom. As for the space group: P6_3/mmc, No. 194. For the size of the total moment, the calculation gives 5.65 μB per atom.

---

Compound: GdSi6
Source: Alexandria via LeMat-Bulk
Functional: PBE
Structure: relaxed

The structure in POSCAR format:
```
GdSi6
1.0
-3.330 3.330 3.330
3.330 -3.330 3.330
3.330 3.330 -3.330
Gd Si
1 6
direct
0.000 0.000 0.000 Gd
0.250 0.500 0.750 Si
0.250 0.750 0.500 Si
0.500 0.250 0.750 Si
0.500 0.750 0.250 Si
0.750 0.250 0.500 Si
0.750 0.500 0.250 Si
```

For the energy, the calculation gives -6.524 eV/atom. As for the formation energy without anion corrections: 135 meV/atom. As for the space group: Im-3m, No. 229. For the size of the total moment, the calculation gives 1.06 μB per atom.

---

Compound: GdSi3
Source: Alexandria via LeMat-Bulk
Functional: PBE
Structure: relaxed

The structure in POSCAR format:
```
GdSi3
1.0
-1.992 1.992 5.257
1.992 -1.992 5.257
1.992 1.992 -5.257
Gd Si
1 3
direct
0.000 0.000 0.000 Gd
0.281 0.281 0.000 Si
0.500 0.500 0.000 Si
0.719 0.719 0.000 Si
```

For the energy, the calculation gives -7.572 eV/atom. As for the formation energy without anion corrections: 16 meV/atom. As for the space group: I4/mmm, No. 139. For the size of the total moment, the calculation gives 1.73 μB per atom.

---

Compound: SmGdSi
Source: Alexandria via LeMat-Bulk
Functional: PBE
Structure: relaxed

The structure in POSCAR format:
```
SmGdSi
1.0
-1.950 1.950 4.922
1.950 -1.950 4.922
1.950 1.950 -4.922
Sm Gd Si
1 1 1
direct
0.000 0.000 0.000 Sm
0.294 0.294 0.000 Gd
0.651 0.651 0.000 Si
```

The calculation puts the relative energy among the computed polymorphs at 109 meV per atom. For the energy, the calculation gives -8.430 eV/atom. As for the formation energy without anion corrections: -356 meV/atom. As for the space group: I4mm, No. 107. For the size of the total moment, the calculation gives 2.74 μB per atom.

---

Compound: SmGd2Si
Source: Alexandria via LeMat-Bulk
Functional: PBE
Structure: relaxed

The structure in POSCAR format:
```
SmGd2Si
1.0
3.810 0.000 0.000
0.000 3.810 0.000
0.000 0.000 7.502
Sm Gd Si
1 2 1
direct
0.000 0.000 0.000 Sm
0.500 0.500 0.304 Gd
0.500 0.500 0.696 Gd
0.000 0.000 0.500 Si
```

The calculation puts the relative energy among the computed polymorphs at 21 meV per atom. For the energy, the calculation gives -9.829 eV/atom. As for the formation energy without anion corrections: -253 meV/atom. As for the space group: P4/mmm, No. 123. For the size of the total moment, the calculation gives 3.83 μB per atom.

---

Compound: SmGdSi2
Source: Alexandria via LeMat-Bulk
Functional: PBE
Structure: relaxed

The structure in POSCAR format:
```
SmGdSi2
1.0
2.336 1.349 5.121
-2.336 1.349 5.121
0.000 -2.698 5.121
Sm Gd Si
1 1 2
direct
0.000 0.000 0.000 Sm
0.500 0.500 0.500 Gd
0.246 0.246 0.246 Si
0.754 0.754 0.754 Si
```

For the energy, the calculation gives -7.894 eV/atom. As for the formation energy without anion corrections: -483 meV/atom. As for the space group: R-3m, No. 166. For the size of the total moment, the calculation gives 1.78 μB per atom.

---

Compound: SmGd2Si
Source: Alexandria via LeMat-Bulk
Functional: PBE
Structure: relaxed

The structure in POSCAR format:
```
SmGd2Si
1.0
4.683 0.000 0.000
0.000 4.683 0.000
0.000 0.000 4.688
Sm Gd Si
1 2 1
direct
0.000 0.000 0.000 Sm
0.000 0.500 0.500 Gd
0.500 0.000 0.500 Gd
0.500 0.500 0.000 Si
```

The calculation puts the relative energy among the computed polymorphs at 0 meV per atom. For the energy, the calculation gives -9.851 eV/atom. As for the formation energy without anion corrections: -275 meV/atom. As for the space group: P4/mmm, No. 123. For the size of the total moment, the calculation gives 3.70 μB per atom.

---

Compound: SmGdSi
Source: Alexandria via LeMat-Bulk
Functional: PBE
Structure: relaxed

The structure in POSCAR format:
```
SmGdSi
1.0
0.000 3.479 3.479
3.479 0.000 3.479
3.479 3.479 0.000
Sm Gd Si
1 1 1
direct
0.000 0.000 0.000 Sm
0.500 0.500 0.500 Gd
0.750 0.750 0.750 Si
```

The calculation puts the relative energy among the computed polymorphs at 0 meV per atom. For the energy, the calculation gives -8.539 eV/atom. As for the formation energy without anion corrections: -464 meV/atom. As for the space group: F-43m, No. 216. For the size of the total moment, the calculation gives 2.56 μB per atom.

---

Compound: SmGd2Si
Source: Alexandria via LeMat-Bulk
Functional: PBE
Structure: relaxed

The structure in POSCAR format:
```
SmGd2Si
1.0
0.000 3.731 3.731
3.731 0.000 3.731
3.731 3.731 0.000
Sm Gd Si
1 2 1
direct
0.000 0.000 0.000 Sm
0.250 0.250 0.250 Gd
0.750 0.750 0.750 Gd
0.500 0.500 0.500 Si
```

The calculation puts the relative energy among the computed polymorphs at 224 meV per atom. For the energy, the calculation gives -9.627 eV/atom. As for the formation energy without anion corrections: -51 meV/atom. As for the space group: Fm-3m, No. 225. For the size of the total moment, the calculation gives 3.85 μB per atom.

---

Compound: GdSiSn2
Source: Alexandria via LeMat-Bulk
Functional: PBE
Structure: relaxed

The structure in POSCAR format:
```
GdSiSn2
1.0
4.458 0.000 0.000
0.000 4.458 0.000
0.000 0.000 4.756
Gd Si Sn
1 1 2
direct
0.000 0.000 0.000 Gd
0.500 0.500 0.000 Si
0.000 0.500 0.500 Sn
0.500 0.000 0.500 Sn
```

For the energy, the calculation gives -7.199 eV/atom. As for the formation energy without anion corrections: -321 meV/atom. As for the space group: P4/mmm, No. 123. For the size of the total moment, the calculation gives 1.71 μB per atom.

---

Compound: Gd2SiSn
Source: Alexandria via LeMat-Bulk
Functional: PBE
Structure: relaxed

The structure in POSCAR format:
```
Gd2SiSn
1.0
3.363 0.000 0.000
0.000 3.363 0.000
0.000 0.000 8.633
Gd Si Sn
2 1 1
direct
0.000 0.000 0.222 Gd
0.000 0.000 0.778 Gd
0.500 0.500 0.000 Si
0.500 0.500 0.500 Sn
```

For the energy, the calculation gives -10.015 eV/atom. As for the formation energy without anion corrections: -618 meV/atom. As for the space group: P4/mmm, No. 123. For the size of the total moment, the calculation gives 3.67 μB per atom.

---

Compound: SrGdZnSi
Source: Alexandria via LeMat-Bulk
Functional: PBE
Structure: relaxed

The structure in POSCAR format:
```
SrGdZnSi
1.0
0.000 3.684 3.684
3.684 0.000 3.684
3.684 3.684 0.000
Sr Gd Zn Si
1 1 1 1
direct
0.000 0.000 0.000 Sr
0.500 0.500 0.500 Gd
0.750 0.750 0.750 Zn
0.250 0.250 0.250 Si
```

For the energy, the calculation gives -5.904 eV/atom. As for the formation energy without anion corrections: -289 meV/atom. As for the space group: F-43m, No. 216. For the size of the total moment, the calculation gives 1.82 μB per atom.

---

Compound: GdTaSi2
Source: Alexandria via LeMat-Bulk
Functional: PBE
Structure: relaxed

The structure in POSCAR format:
```
GdTaSi2
1.0
1.913 1.104 6.428
-1.913 1.104 6.428
0.000 -2.209 6.428
Gd Ta Si
1 1 2
direct
0.000 0.000 0.000 Gd
0.500 0.500 0.500 Ta
0.239 0.239 0.239 Si
0.761 0.761 0.761 Si
```

For the energy, the calculation gives -9.583 eV/atom. As for the formation energy without anion corrections: -388 meV/atom. As for the space group: R-3m, No. 166. For the size of the total moment, the calculation gives 1.73 μB per atom.

---

Compound: TbGdSi4
Source: Alexandria via LeMat-Bulk
Functional: PBE
Structure: relaxed

The structure in POSCAR format:
```
TbGdSi4
1.0
0.000 3.774 3.774
3.774 0.000 3.774
3.774 3.774 0.000
Tb Gd Si
1 1 4
direct
0.000 0.000 0.000 Tb
0.250 0.250 0.250 Gd
0.124 0.625 0.625 Si
0.625 0.124 0.625 Si
0.625 0.625 0.124 Si
0.625 0.625 0.625 Si
```

For the energy, the calculation gives -7.065 eV/atom. As for the formation energy without anion corrections: -331 meV/atom. As for the space group: F-43m, No. 216. For the size of the total moment, the calculation gives 1.15 μB per atom.

---

Compound: TbGd2Si
Source: Alexandria via LeMat-Bulk
Functional: PBE
Structure: relaxed

The structure in POSCAR format:
```
TbGd2Si
1.0
4.643 0.000 0.000
0.000 4.643 0.000
0.000 0.000 4.691
Tb Gd Si
1 2 1
direct
0.000 0.000 0.000 Tb
0.000 0.500 0.500 Gd
0.500 0.000 0.500 Gd
0.500 0.500 0.000 Si
```

For the energy, the calculation gives -9.828 eV/atom. As for the formation energy without anion corrections: -274 meV/atom. As for the space group: P4/mmm, No. 123. For the size of the total moment, the calculation gives 3.71 μB per atom.